Record 1
Computed, not measured: a relaxed structure of ZrNiBi at the PBE level of DFT.

Calculated values
VASP energy (eV/f.u.): -19.14
Spin magnetization (μB per formula unit): 0.000
Formation enthalpy at 0 K (eV per atom): -0.31
Density of states at the Fermi level (states/eV/cell): 8.47

Unit cell a=6.298 b=6.298 c=6.298 alpha=90.00 beta=90.00 gamma=90.00
Space group F-43m (No. 216)
Unique sites:
1 Zr 0.000 0.000 0.000 x4
2 Ni 0.250 0.250 0.750 x4
3 Bi 0.000 0.000 0.500 x4

---

Record 2
Computed, not measured: a relaxed structure of ZrNi3Bi at the PBE level of DFT.

Calculated values
VASP energy (eV/f.u.): -25.38
Spin magnetization (μB per formula unit): 0.000
Formation enthalpy at 0 K (eV per atom): 0.88
Density of states at the Fermi level (states/eV/cell): 3.67

Unit cell a=4.679 b=4.679 c=4.679 alpha=90.00 beta=90.00 gamma=90.00
Space group Pm-3m (No. 221)
Unique sites:
1 Zr 0.000 0.000 0.000 x1
2 Ni 0.000 0.000 0.500 x3
3 Bi 0.500 0.500 0.500 x1